Here is CaPaHgPb after structural relaxation from Alexandria. Energies are from PBE-GGA. Values from VASP.

Computed properties:
Crystal system: cubic
D(E_F) (states/eV/cell): 6.94
Energy of formation (eV/atom): -0.0532

```
&SYSTEM
  ibrav = 0, nat = 4, ntyp = 4
/
ATOMIC_SPECIES
Hg 200.59 Hg.upf
Pa 231.04 Pa.upf
Pb 207.20 Pb.upf
Ca 40.08 Ca.upf
ATOMIC_POSITIONS crystal
Hg 0.000 0.000 0.000
Pa 0.250 0.250 0.250
Pb 0.500 0.500 0.500
Ca 0.750 0.750 0.750
CELL_PARAMETERS angstrom
-0.169 1.473 -5.194
0.792 -3.677 -3.877
-4.123 -1.567 -3.119
```